[1]
# AlRuIO2, relaxed, DFT PBE
data_AlRuIO2
_symmetry_space_group_name_H-M 'P 4/m m m'
_symmetry_Int_Tables_number 123
_symmetry_space_group_name_Hall '-P 4 2'
_cell_length_a 3.955
_cell_length_b 3.955
_cell_length_c 5.719
_cell_angle_alpha 90.00
_cell_angle_beta 90.00
_cell_angle_gamma 90.00
loop_
_atom_site_label
_atom_site_type_symbol
_atom_site_fract_x
_atom_site_fract_y
_atom_site_fract_z
_atom_site_occupancy
Al1 Al 0.000 0.000 0.000 1
Ru1 Ru 0.500 0.500 0.500 1
I1 I 0.500 0.500 0.000 1
O1 O 0.000 0.500 0.500 1
# Formation energy without anion corrections = -0.11 eV per atom
# ΔE to the lowest computed polymorph = 324.6 meV/atom
# Crystal system = tetragonal
# Fermi-level density of states = 4.31 states/eV/f.u.

[2]
# ZrScAl2, relaxed, DFT PBE
data_ZrScAl2
_symmetry_space_group_name_H-M 'C 1 2/m 1'
_symmetry_Int_Tables_number 12
_symmetry_space_group_name_Hall '-C 2y'
_cell_length_a 9.287
_cell_length_b 3.040
_cell_length_c 5.842
_cell_angle_alpha 90.00
_cell_angle_beta 97.20
_cell_angle_gamma 90.00
loop_
_atom_site_label
_atom_site_type_symbol
_atom_site_fract_x
_atom_site_fract_y
_atom_site_fract_z
_atom_site_occupancy
Zr1 Zr 0.000 0.000 0.000 1
Sc1 Sc 0.000 0.500 0.500 1
Al1 Al 0.250 0.000 0.748 1
# ΔE to the lowest computed polymorph = 232.2 meV/atom
# Formation energy from the elements = -0.21 eV per atom
# Crystal system = monoclinic
# Fermi-level density of states = 2.32 states/eV/f.u.

[3]
# LiBePd3, relaxed, DFT PBE
data_LiBePd3
_symmetry_space_group_name_H-M 'P 1 21/m 1'
_symmetry_Int_Tables_number 11
_symmetry_space_group_name_Hall '-P 2yb'
_cell_length_a 2.777
_cell_length_b 8.830
_cell_length_c 5.840
_cell_angle_alpha 90.00
_cell_angle_beta 103.59
_cell_angle_gamma 90.00
loop_
_atom_site_label
_atom_site_type_symbol
_atom_site_fract_x
_atom_site_fract_y
_atom_site_fract_z
_atom_site_occupancy
Li1 Li 0.213 0.250 0.428 1
Be1 Be 0.500 0.000 0.000 1
Pd1 Pd 0.151 0.552 0.303 1
Pd2 Pd 0.490 0.750 0.976 1
# ΔE to the lowest computed polymorph = 113.8 meV/atom
# Formation energy from the elements = -0.33 eV per atom
# Crystal system = monoclinic
# Fermi-level density of states = 1.33 states/eV/f.u.

[4]
# Pa2CoAu, relaxed, DFT PBE
data_Pa2CoAu
_symmetry_space_group_name_H-M 'P 1 21/m 1'
_symmetry_Int_Tables_number 11
_symmetry_space_group_name_Hall '-P 2yb'
_cell_length_a 6.701
_cell_length_b 3.482
_cell_length_c 7.637
_cell_angle_alpha 90.00
_cell_angle_beta 109.57
_cell_angle_gamma 90.00
loop_
_atom_site_label
_atom_site_type_symbol
_atom_site_fract_x
_atom_site_fract_y
_atom_site_fract_z
_atom_site_occupancy
Pa1 Pa 0.168 0.250 0.388 1
Pa2 Pa 0.227 0.750 0.046 1
Co1 Co 0.134 0.250 0.775 1
Au1 Au 0.409 0.750 0.714 1
# ΔE to the lowest computed polymorph = 0.0 meV/atom
# Formation energy from the elements = -0.27 eV per atom
# Crystal system = monoclinic
# Fermi-level density of states = 5.48 states/eV/f.u.

[5]
# Al2CuAs, relaxed, DFT PBE
data_Al2CuAs
_symmetry_space_group_name_H-M 'I m m 2'
_symmetry_Int_Tables_number 44
_symmetry_space_group_name_Hall 'I 2 -2'
_cell_length_a 2.863
_cell_length_b 4.219
_cell_length_c 11.143
_cell_angle_alpha 90.00
_cell_angle_beta 90.00
_cell_angle_gamma 90.00
loop_
_atom_site_label
_atom_site_type_symbol
_atom_site_fract_x
_atom_site_fract_y
_atom_site_fract_z
_atom_site_occupancy
Al1 Al 0.000 0.000 0.000 1
Al2 Al 0.000 0.500 0.214 1
Cu1 Cu 0.000 0.000 0.526 1
As1 As 0.000 0.500 0.819 1
# Formation energy from the elements = 0.05 eV per atom
# Crystal system = orthorhombic
# Fermi-level density of states = 1.63 states/eV/f.u.

[6]
# SrTcN3, relaxed, DFT PBE
data_SrTcN3
_symmetry_space_group_name_H-M 'P 1 21/c 1'
_symmetry_Int_Tables_number 14
_symmetry_space_group_name_Hall '-P 2ybc'
_cell_length_a 7.053
_cell_length_b 5.457
_cell_length_c 10.356
_cell_angle_alpha 90.00
_cell_angle_beta 117.43
_cell_angle_gamma 90.00
loop_
_atom_site_label
_atom_site_type_symbol
_atom_site_fract_x
_atom_site_fract_y
_atom_site_fract_z
_atom_site_occupancy
Sr1 Sr 0.222 0.247 0.135 1
Tc1 Tc 0.394 0.734 0.978 1
N1 N 0.185 0.705 0.522 1
N2 N 0.327 0.076 0.389 1
N3 N 0.416 0.556 0.353 1
# Formation energy without anion corrections = -0.22 eV per atom
# Crystal system = monoclinic
# Fermi-level density of states = 0.00 states/eV/f.u.

[7]
# BPbCl3, relaxed, DFT PBE
data_BPbCl3
_symmetry_space_group_name_H-M 'P m -3 m'
_symmetry_Int_Tables_number 221
_symmetry_space_group_name_Hall '-P 4 2 3'
_cell_length_a 4.685
_cell_length_b 4.685
_cell_length_c 4.685
_cell_angle_alpha 90.00
_cell_angle_beta 90.00
_cell_angle_gamma 90.00
loop_
_atom_site_label
_atom_site_type_symbol
_atom_site_fract_x
_atom_site_fract_y
_atom_site_fract_z
_atom_site_occupancy
B1 B 0.000 0.000 0.000 1
Pb1 Pb 0.500 0.500 0.500 1
Cl1 Cl 0.000 0.000 0.500 1
# Formation energy without anion corrections = 0.04 eV per atom
# Crystal system = cubic
# Fermi-level density of states = 2.19 states/eV/f.u.

[8]
# MgTlZn2, relaxed, DFT PBE
data_MgTlZn2
_symmetry_space_group_name_H-M 'P 4 m m'
_symmetry_Int_Tables_number 99
_symmetry_space_group_name_Hall 'P 4 -2'
_cell_length_a 3.460
_cell_length_b 3.460
_cell_length_c 6.904
_cell_angle_alpha 90.00
_cell_angle_beta 90.00
_cell_angle_gamma 90.00
loop_
_atom_site_label
_atom_site_type_symbol
_atom_site_fract_x
_atom_site_fract_y
_atom_site_fract_z
_atom_site_occupancy
Mg1 Mg 0.000 0.000 0.000 1
Tl1 Tl 0.500 0.500 0.300 1
Zn1 Zn 0.000 0.000 0.585 1
Zn2 Zn 0.500 0.500 0.761 1
# ΔE to the lowest computed polymorph = 3.3 meV/atom
# Formation energy from the elements = 0.06 eV per atom
# Crystal system = tetragonal
# Fermi-level density of states = 1.30 states/eV/f.u.

[9]
# Dy6Er3Tm2Zr, relaxed, DFT PBE
data_Dy6Er3Tm2Zr
_symmetry_space_group_name_H-M 'C 1 2/m 1'
_symmetry_Int_Tables_number 12
_symmetry_space_group_name_Hall '-C 2y'
_cell_length_a 6.051
_cell_length_b 10.460
_cell_length_c 11.553
_cell_angle_alpha 90.00
_cell_angle_beta 99.96
_cell_angle_gamma 90.00
loop_
_atom_site_label
_atom_site_type_symbol
_atom_site_fract_x
_atom_site_fract_y
_atom_site_fract_z
_atom_site_occupancy
Dy1 Dy 0.245 0.000 0.256 1
Dy2 Dy 0.245 0.164 0.745 1
Er1 Er 0.000 0.167 0.000 1
Er2 Er 0.000 0.500 0.000 1
Tm1 Tm 0.000 0.333 0.500 1
Zr1 Zr 0.000 0.000 0.500 1
# Formation energy from the elements = 0.04 eV per atom
# Crystal system = monoclinic
# Fermi-level density of states = 15.04 states/eV/f.u.

[10]
# Dy3Sc2Cu3, relaxed, DFT PBE
data_Dy3Sc2Cu3
_symmetry_space_group_name_H-M 'I m m m'
_symmetry_Int_Tables_number 71
_symmetry_space_group_name_Hall '-I 2 2'
_cell_length_a 3.435
_cell_length_b 4.970
_cell_length_c 20.394
_cell_angle_alpha 90.00
_cell_angle_beta 90.00
_cell_angle_gamma 90.00
loop_
_atom_site_label
_atom_site_type_symbol
_atom_site_fract_x
_atom_site_fract_y
_atom_site_fract_z
_atom_site_occupancy
Dy1 Dy 0.000 0.000 0.000 1
Dy2 Dy 0.000 0.500 0.120 1
Sc1 Sc 0.000 0.000 0.230 1
Cu1 Cu 0.000 0.000 0.500 1
Cu2 Cu 0.000 0.500 0.378 1
# Formation energy from the elements = -0.18 eV per atom
# Crystal system = orthorhombic
# Fermi-level density of states = 7.38 states/eV/f.u.

[11]
# TiPPdS2, relaxed, DFT PBE
data_TiPPdS2
_symmetry_space_group_name_H-M 'P 4/m m m'
_symmetry_Int_Tables_number 123
_symmetry_space_group_name_Hall '-P 4 2'
_cell_length_a 4.643
_cell_length_b 4.643
_cell_length_c 4.591
_cell_angle_alpha 90.00
_cell_angle_beta 90.00
_cell_angle_gamma 90.00
loop_
_atom_site_label
_atom_site_type_symbol
_atom_site_fract_x
_atom_site_fract_y
_atom_site_fract_z
_atom_site_occupancy
Ti1 Ti 0.000 0.000 0.000 1
P1 P 0.500 0.500 0.000 1
Pd1 Pd 0.500 0.500 0.500 1
S1 S 0.000 0.500 0.500 1
# Formation energy without anion corrections = 0.47 eV per atom
# ΔE to the lowest computed polymorph = 360.1 meV/atom
# Crystal system = tetragonal
# Fermi-level density of states = 4.27 states/eV/f.u.

[12]
# Eu2DyMg, relaxed, DFT PBE
data_Eu2DyMg
_symmetry_space_group_name_H-M 'F m -3 m'
_symmetry_Int_Tables_number 225
_symmetry_space_group_name_Hall '-F 4 2 3'
_cell_length_a 8.136
_cell_length_b 8.136
_cell_length_c 8.136
_cell_angle_alpha 90.00
_cell_angle_beta 90.00
_cell_angle_gamma 90.00
loop_
_atom_site_label
_atom_site_type_symbol
_atom_site_fract_x
_atom_site_fract_y
_atom_site_fract_z
_atom_site_occupancy
Eu1 Eu 0.250 0.250 0.250 1
Dy1 Dy 0.000 0.000 0.000 1
Mg1 Mg 0.000 0.000 0.500 1
# ΔE to the lowest computed polymorph = 52.2 meV/atom
# Formation energy from the elements = 0.10 eV per atom
# Crystal system = cubic
# Fermi-level density of states = 3.89 states/eV/f.u.

[13]
# Cu2ReAgRh, relaxed, DFT PBE
data_Cu2ReAgRh
_symmetry_space_group_name_H-M 'P 4/m m m'
_symmetry_Int_Tables_number 123
_symmetry_space_group_name_Hall '-P 4 2'
_cell_length_a 4.519
_cell_length_b 4.519
_cell_length_c 4.975
_cell_angle_alpha 90.00
_cell_angle_beta 90.00
_cell_angle_gamma 90.00
loop_
_atom_site_label
_atom_site_type_symbol
_atom_site_fract_x
_atom_site_fract_y
_atom_site_fract_z
_atom_site_occupancy
Cu1 Cu 0.000 0.500 0.000 1
Re1 Re 0.000 0.000 0.500 1
Ag1 Ag 0.000 0.000 0.000 1
Rh1 Rh 0.500 0.500 0.500 1
# Formation energy from the elements = 1.97 eV per atom
# Crystal system = tetragonal
# Fermi-level density of states = 4.18 states/eV/f.u.